(P)
DFT (PBE-GGA) results for a geometry-optimized KBeNbPt structure.

The structure in extended XYZ format:
```
4
Lattice="0.0000 3.3437 3.3437 3.3437 0.0000 3.3437 3.3437 3.3437 0.0000" Properties=species:S:1:pos:R:3 pbc="T T T"
K 0.0000 0.0000 0.0000
Be 5.0155 5.0155 5.0155
Nb 3.3437 3.3437 3.3437
Pt 1.6718 1.6718 1.6718
```

Calculated values
Calculated volume ... 75 Å³/cell
Size of the total moment ... 0.02 μB/f.u.
Space-group type ... F-43m, No. 216

---

(Q)
DFT (PBE-GGA) results for a geometry-optimized KBeNbPt structure.

The structure in extended XYZ format:
```
4
Lattice="0.0000 3.2246 3.2246 3.2246 0.0000 3.2246 3.2246 3.2246 0.0000" Properties=species:S:1:pos:R:3 pbc="T T T"
K 0.0000 0.0000 0.0000
Be 1.6123 1.6123 1.6123
Nb 4.8369 4.8369 4.8369
Pt 3.2246 3.2246 3.2246
```

Calculated values
Calculated volume ... 67 Å³/cell
Size of the total moment ... 0.00 μB/f.u.
Space-group type ... F-43m, No. 216

---

The data favor (Q); the next most stable structure lies 243 meV per atom above it.

---

(P)
DFT (PBE-GGA) results for a geometry-optimized KBeNiSb structure.

The structure in extended XYZ format:
```
4
Lattice="0.0000 3.3214 3.3214 3.3214 0.0000 3.3214 3.3214 3.3214 0.0000" Properties=species:S:1:pos:R:3 pbc="T T T"
K 0.0000 0.0000 0.0000
Be 4.9821 4.9821 4.9821
Ni 1.6607 1.6607 1.6607
Sb 3.3214 3.3214 3.3214
```

Calculated values
Calculated volume ... 73 Å³/cell
Size of the total moment ... 0.00 μB/f.u.
Space-group type ... F-43m, No. 216

---

(Q)
DFT (PBE-GGA) results for a geometry-optimized KBeNiSb structure.

The structure in extended XYZ format:
```
4
Lattice="0.0000 3.4014 3.4014 3.4014 0.0000 3.4014 3.4014 3.4014 0.0000" Properties=species:S:1:pos:R:3 pbc="T T T"
K 0.0000 0.0000 0.0000
Be 3.4014 3.4014 3.4014
Ni 5.1020 5.1020 5.1020
Sb 1.7007 1.7007 1.7007
```

Calculated values
Calculated volume ... 79 Å³/cell
Size of the total moment ... 0.35 μB/f.u.
Space-group type ... F-43m, No. 216

---

The data favor (P); the next most stable structure lies 206 meV per atom above it.

---

(P)
DFT (PBE-GGA) results for a geometry-optimized KTaBeNi structure.

The structure in extended XYZ format:
```
4
Lattice="0.0000 3.1472 3.1472 3.1472 0.0000 3.1472 3.1472 3.1472 0.0000" Properties=species:S:1:pos:R:3 pbc="T T T"
K 0.0000 0.0000 0.0000
Ta 1.5736 1.5736 1.5736
Be 3.1472 3.1472 3.1472
Ni 4.7208 4.7208 4.7208
```

Calculated values
Calculated volume ... 62 Å³/cell
Size of the total moment ... 0.00 μB/f.u.
Space-group type ... F-43m, No. 216

---

(Q)
DFT (PBE-GGA) results for a geometry-optimized KTaBeNi structure.

The structure in extended XYZ format:
```
4
Lattice="0.0000 3.2551 3.2551 3.2551 0.0000 3.2551 3.2551 3.2551 0.0000" Properties=species:S:1:pos:R:3 pbc="T T T"
K 0.0000 0.0000 0.0000
Ta 3.2551 3.2551 3.2551
Be 4.8827 4.8827 4.8827
Ni 1.6276 1.6276 1.6276
```

Calculated values
Calculated volume ... 69 Å³/cell
Size of the total moment ... 0.00 μB/f.u.
Space-group type ... F-43m, No. 216

---

The data favor (Q); the next most stable structure lies 262 meV per atom above it.

---

(P)
DFT (PBE-GGA) results for a geometry-optimized KBeOs structure.

The structure in extended XYZ format:
```
3
Lattice="0.0000 3.1439 3.1439 3.1439 0.0000 3.1439 3.1439 3.1439 0.0000" Properties=species:S:1:pos:R:3 pbc="T T T"
K 0.0000 0.0000 0.0000
Be 3.1439 3.1439 3.1439
Os 4.7159 4.7159 4.7159
```

Calculated values
Calculated volume ... 62 Å³/cell
Size of the total moment ... 1.00 μB/f.u.
Space-group type ... F-43m, No. 216

---

(Q)
DFT (PBE-GGA) results for a geometry-optimized KBeOs structure.

The structure in extended XYZ format:
```
3
Lattice="0.0000 3.3768 3.3768 3.3768 0.0000 3.3768 3.3768 3.3768 0.0000" Properties=species:S:1:pos:R:3 pbc="T T T"
K 0.0000 0.0000 0.0000
Be 5.0651 5.0651 5.0651
Os 1.6884 1.6884 1.6884
```

Calculated values
Calculated volume ... 77 Å³/cell
Size of the total moment ... 2.72 μB/f.u.
Space-group type ... F-43m, No. 216

---

The data favor (P); the next most stable structure lies 855 meV per atom above it.

---

(P)
DFT (PBE-GGA) results for a geometry-optimized KBeTcOs structure.

The structure in extended XYZ format:
```
4
Lattice="0.0000 3.1675 3.1675 3.1675 0.0000 3.1675 3.1675 3.1675 0.0000" Properties=species:S:1:pos:R:3 pbc="T T T"
K 0.0000 0.0000 0.0000
Be 3.1675 3.1675 3.1675
Tc 4.7512 4.7512 4.7512
Os 1.5837 1.5837 1.5837
```

Calculated values
Calculated volume ... 64 Å³/cell
Size of the total moment ... 3.11 μB/f.u.
Space-group type ... F-43m, No. 216

---

(Q)
DFT (PBE-GGA) results for a geometry-optimized KBeTcOs structure.

The structure in extended XYZ format:
```
4
Lattice="0.0000 3.1465 3.1465 3.1465 0.0000 3.1465 3.1465 3.1465 0.0000" Properties=species:S:1:pos:R:3 pbc="T T T"
K 0.0000 0.0000 0.0000
Be 4.7197 4.7197 4.7197
Tc 1.5732 1.5732 1.5732
Os 3.1465 3.1465 3.1465
```

Calculated values
Calculated volume ... 62 Å³/cell
Size of the total moment ... 0.00 μB/f.u.
Space-group type ... F-43m, No. 216

---

The data favor (Q); the next most stable structure lies 592 meV per atom above it.

---

(P)
DFT (PBE-GGA) results for a geometry-optimized KBe2Zn2P3 structure.

The structure in extended XYZ format:
```
8
Lattice="1.8877 1.0899 11.8117 -1.8877 1.0899 11.8117 0.0000 -2.1797 11.8117" Properties=species:S:1:pos:R:3 pbc="T T T"
K 0.0000 0.0000 0.0000
Be 0.0000 0.0000 14.5249
Be 0.0000 0.0000 20.9103
Zn 0.0000 0.0000 7.0079
Zn 0.0000 0.0000 28.4273
P 0.0000 0.0000 9.3672
P 0.0000 0.0000 17.7176
P 0.0000 0.0000 26.0680
```

Calculated values
Calculated volume ... 146 Å³/cell
Space-group type ... R-3m, No. 166

---

(Q)
DFT (PBE-GGA) results for a geometry-optimized KBe2Zn2P3 structure.

The structure in extended XYZ format:
```
8
Lattice="1.9674 1.1359 10.8423 -1.9674 1.1359 10.8423 0.0000 -2.2717 10.8423" Properties=species:S:1:pos:R:3 pbc="T T T"
K 0.0000 0.0000 0.0000
Be 0.0000 0.0000 6.3643
Be 0.0000 0.0000 26.1625
Zn 0.0000 0.0000 13.6776
Zn 0.0000 0.0000 18.8492
P 0.0000 0.0000 8.5014
P 0.0000 0.0000 16.2634
P 0.0000 0.0000 24.0254
```

Calculated values
Calculated volume ... 145 Å³/cell
Space-group type ... R-3m, No. 166

---

The data favor (P); the next most stable structure lies 32 meV per atom above it.